Record 1
16
Lattice="3.942 0.000 0.000 0.000 3.942 0.000 0.000 0.000 15.945" Properties=species:S:1:pos:R:3 comment="TeRu3 (PBE-GGA, optimized geometry)" polymorph_energy_ev_per_fu=0.000 spacegroup="I4/mmm, No. 139" pbc="T T T"
Te 0.000 0.000 1.892
Te 0.000 0.000 14.053
Te 1.971 1.971 6.080
Te 1.971 1.971 9.865
Ru 0.000 0.000 5.875
Ru 0.000 0.000 10.070
Ru 0.000 1.971 0.000
Ru 0.000 1.971 3.986
Ru 0.000 1.971 7.972
Ru 0.000 1.971 11.959
Ru 1.971 0.000 0.000
Ru 1.971 0.000 3.986
Ru 1.971 0.000 7.972
Ru 1.971 0.000 11.959
Ru 1.971 1.971 2.097
Ru 1.971 1.971 13.848

Record 2
9
Lattice="-4.333 4.333 2.649 4.333 -4.333 2.649 4.333 4.333 -2.649" Properties=species:S:1:pos:R:3 comment="Te5Ru4 (PBE-GGA, optimized geometry)" spacegroup="I4/mmm, No. 139" pbc="T T T"
Te 0.000 0.000 0.000
Te 2.615 2.615 0.000
Te 1.717 -1.717 2.649
Te -1.717 1.717 2.649
Te 1.717 1.717 2.649
Ru 3.148 0.000 0.000
Ru 5.517 0.000 0.000
Ru 0.000 3.148 0.000
Ru 0.000 5.517 0.000

Record 3
10
Lattice="3.585 0.000 0.000 0.000 3.585 0.000 0.000 0.000 13.098" Properties=species:S:1:pos:R:3 comment="TeRu4 (PBE-GGA, optimized geometry)" polymorph_energy_ev_per_fu=1.227 spacegroup="I4/mmm, No. 139" pbc="T T T"
Te 0.000 0.000 0.000
Te 1.792 1.792 6.549
Ru 0.000 0.000 5.189
Ru 0.000 0.000 7.909
Ru 0.000 1.792 3.275
Ru 0.000 1.792 9.824
Ru 1.792 0.000 3.275
Ru 1.792 0.000 9.824
Ru 1.792 1.792 1.360
Ru 1.792 1.792 11.738

Record 4
9
Lattice="-5.063 5.063 1.817 5.063 -5.063 1.817 5.063 5.063 -1.817" Properties=species:S:1:pos:R:3 comment="Te4Ru5 (PBE-GGA, optimized geometry)" polymorph_energy_ev_per_fu=0.000 spacegroup="I4/mmm, No. 139" pbc="T T T"
Te 2.851 0.000 0.000
Te 7.276 0.000 0.000
Te 0.000 2.851 0.000
Te 0.000 7.276 0.000
Ru 0.000 0.000 0.000
Ru 3.660 3.660 0.000
Ru 1.404 -1.404 1.817
Ru -1.404 1.404 1.817
Ru 1.404 1.404 1.817

Record 5
4
Lattice="3.171 0.000 0.000 0.000 3.171 0.000 0.000 0.000 10.502" Properties=species:S:1:pos:R:3 comment="Te3Ru (PBE-GGA, optimized geometry)" spacegroup="P4/mmm, No. 123" pbc="T T T"
Te 0.000 0.000 0.000
Te 1.586 1.586 3.528
Te 1.586 1.586 6.974
Ru 0.000 0.000 5.251

Record 6
10
Lattice="6.544 0.000 0.000 0.000 6.544 0.000 0.000 0.000 6.544" Properties=species:S:1:pos:R:3 comment="Te4Ru (PBE-GGA, optimized geometry)" polymorph_energy_ev_per_fu=1.275 spacegroup="Im-3m, No. 229" pbc="T T T"
Te 1.636 1.636 1.636
Te 1.636 1.636 4.908
Te 1.636 4.908 1.636
Te 1.636 4.908 4.908
Te 4.908 1.636 1.636
Te 4.908 1.636 4.908
Te 4.908 4.908 1.636
Te 4.908 4.908 4.908
Ru 0.000 0.000 0.000
Ru 3.272 3.272 3.272

Number 1: formation energy (no corrections) 329 meV per atom. Number 2: formation energy (no corrections) 627 meV per atom. Number 3: formation energy (no corrections) 482 meV per atom. Number 4: formation energy (no corrections) 218 meV per atom. Number 5: formation energy (no corrections) 96 meV per atom. Number 6: formation energy (no corrections) 334 meV per atom.